VASP calculation (PBE with a Hubbard U) on a relaxed structure of Na2LaMnO4.

```
Na2LaMnO4
1.0
3.485 0.000 0.000
-1.742 5.826 0.000
0.000 0.000 11.221
Na La Mn O
4 2 2 8
Cartesian
0.000 4.397 6.019 Na
1.742 1.429 0.408 Na
1.742 1.429 5.202 Na
0.000 4.397 10.813 Na
0.000 1.105 8.416 La
1.742 4.721 2.805 La
1.742 3.846 8.416 Mn
0.000 1.980 2.805 Mn
0.000 3.385 1.556 O
1.742 2.441 7.167 O
1.742 2.441 9.665 O
0.000 3.385 4.054 O
0.000 0.000 5.611 O
0.000 0.000 0.000 O
0.000 5.025 8.416 O
1.742 0.801 2.805 O
```

The total energy is -99.45 eV per cell. Its magnetization is 8.0 μB per cell.